# HoLuCuNi (GGA-PBE, optimized geometry)
data_HoLuCuNi
_cell_length_a 6.745
_cell_length_b 6.745
_cell_length_c 6.745
_cell_angle_alpha 90.00
_cell_angle_beta 90.00
_cell_angle_gamma 90.00
_symmetry_space_group_name_H-M 'F -4 3 m'
_symmetry_Int_Tables_number 216
_symmetry_space_group_name_Hall 'F -4 2 3'
loop_
_atom_site_label
_atom_site_fract_x
_atom_site_fract_y
_atom_site_fract_z
Ho1 0.000 0.000 0.000
Lu1 0.000 0.000 0.500
Cu1 0.250 0.250 0.250
Ni1 0.250 0.250 0.750
# Energy   -5.109 eV/atom